(1)
The following is a DFT calculation (PBE-GGA) of a relaxed Np3Ga11 crystal.

The structure in POSCAR format:
```
Np3Ga11
1.0
-2.1139 5.0765 6.2378
2.1139 -5.0765 6.2378
2.1139 5.0765 -6.2378
Np Ga
3 11
Direct
0.0000 0.0000 0.0000
0.3167 0.3167 0.0000
0.6833 0.6833 0.0000
0.0363 0.6602 0.3761
0.1267 0.8547 0.2720
0.2841 0.6602 0.6239
0.2928 0.5000 0.7928
0.4172 0.1453 0.2720
0.5000 0.0000 0.5000
0.5828 0.8547 0.7280
0.7072 0.5000 0.2072
0.7159 0.3398 0.3761
0.8733 0.1453 0.7280
0.9637 0.3398 0.6239
```

density of states at the Fermi level: 23.79 states/eV/f.u.
SG: Immm (71)
electronic total energy: -5.2930 eV/atom
ΔE_f: -0.142 eV/atom

***

(2)
The following is a DFT calculation (PBE-GGA) of a relaxed NpGa6 crystal.

The structure in POSCAR format:
```
NpGa6
1.0
5.9274 0.0000 0.0000
0.0000 5.9274 0.0000
0.0000 0.0000 7.6843
Np Ga
2 12
Direct
0.2500 0.7500 0.0000
0.7500 0.2500 0.0000
0.0675 0.5675 0.3513
0.0675 0.9325 0.6487
0.2500 0.2500 0.1587
0.2500 0.2500 0.8413
0.4325 0.5675 0.6487
0.4325 0.9325 0.3513
0.5675 0.0675 0.6487
0.5675 0.4325 0.3513
0.7500 0.7500 0.1587
0.7500 0.7500 0.8413
0.9325 0.0675 0.3513
0.9325 0.4325 0.6487
```

density of states at the Fermi level: 9.82 states/eV/f.u.
SG: P4/nbm (125)
electronic total energy: -4.5429 eV/atom
ΔE_f: -0.100 eV/atom

***

(3)
The following is a DFT calculation (PBE-GGA) of a relaxed NpGa3 crystal.

The structure in POSCAR format:
```
NpGa3
1.0
0.0000 3.3930 3.3930
3.3930 0.0000 3.3930
3.3930 3.3930 0.0000
Np Ga
1 3
Direct
0.0000 0.0000 0.0000
0.2500 0.2500 0.2500
0.5000 0.5000 0.5000
0.7500 0.7500 0.7500
```

density of states at the Fermi level: 6.06 states/eV/f.u.
SG: Fm-3m (225)
electronic total energy: -5.5040 eV/atom
ΔE_f: 0.001 eV/atom

***

(4)
The following is a DFT calculation (PBE-GGA) of a relaxed NpGa3 crystal.

The structure in POSCAR format:
```
NpGa3
1.0
-2.0295 2.0295 5.5328
2.0295 -2.0295 5.5328
2.0295 2.0295 -5.5328
Np Ga
1 3
Direct
0.0000 0.0000 0.0000
0.2741 0.2741 0.0000
0.5000 0.5000 0.0000
0.7259 0.7259 0.0000
```

density of states at the Fermi level: 11.26 states/eV/f.u.
SG: I4/mmm (139)
electronic total energy: -5.2323 eV/atom
ΔE_f: 0.273 eV/atom

***

(5)
The following is a DFT calculation (PBE-GGA) of a relaxed Np3Ga crystal.

The structure in POSCAR format:
```
Np3Ga
1.0
2.8037 0.0000 0.0000
0.0000 5.0759 0.0000
0.0000 0.0000 5.4918
Np Ga
3 1
Direct
0.0000 0.0000 0.0000
0.0000 0.5000 0.3833
0.5000 0.0000 0.5286
0.5000 0.5000 0.8680
```

polymorph energy (0 for the lowest one): 0.00 eV/f.u.
density of states at the Fermi level: 11.45 states/eV/f.u.
SG: Pmm2 (25)
electronic total energy: -10.3027 eV/atom
ΔE_f: 0.160 eV/atom

***

(6)
The following is a DFT calculation (PBE-GGA) of a relaxed Np3Ga crystal.

The structure in POSCAR format:
```
Np3Ga
1.0
-2.1560 2.1560 4.1648
2.1560 -2.1560 4.1648
2.1560 2.1560 -4.1648
Np Ga
3 1
Direct
0.0000 0.0000 0.0000
0.2500 0.7500 0.5000
0.7500 0.2500 0.5000
0.5000 0.5000 0.0000
```

polymorph energy (0 for the lowest one): 0.19 eV/f.u.
density of states at the Fermi level: 12.95 states/eV/f.u.
SG: I4/mmm (139)
electronic total energy: -10.2561 eV/atom
ΔE_f: 0.206 eV/atom

***

(7)
The following is a DFT calculation (PBE-GGA) of a relaxed NpGa7 crystal.

The structure in POSCAR format:
```
NpGa7
1.0
-2.3074 2.3074 7.0928
2.3074 -2.3074 7.0928
2.3074 2.3074 -7.0928
Np Ga
1 7
Direct
0.0000 0.0000 0.0000
0.1394 0.6394 0.5000
0.2376 0.2376 0.0000
0.3606 0.8606 0.5000
0.5000 0.5000 0.0000
0.6394 0.1394 0.5000
0.7624 0.7624 0.0000
0.8606 0.3606 0.5000
```

density of states at the Fermi level: 12.89 states/eV/f.u.
SG: I4/mmm (139)
electronic total energy: -4.3327 eV/atom
ΔE_f: -0.067 eV/atom

***

(8)
The following is a DFT calculation (PBE-GGA) of a relaxed NpGa6 crystal.

The structure in POSCAR format:
```
NpGa6
1.0
-3.4747 3.4747 3.4747
3.4747 -3.4747 3.4747
3.4747 3.4747 -3.4747
Np Ga
1 6
Direct
0.0000 0.0000 0.0000
0.2500 0.5000 0.7500
0.2500 0.7500 0.5000
0.5000 0.2500 0.7500
0.5000 0.7500 0.2500
0.7500 0.2500 0.5000
0.7500 0.5000 0.2500
```

density of states at the Fermi level: 9.94 states/eV/f.u.
SG: Im-3m (229)
electronic total energy: -4.1116 eV/atom
ΔE_f: 0.331 eV/atom